# 1
Sc2Tl | GGA-PBE | relaxed

Values from the calculation:
Energy of formation: 0.23 eV/f.u.
Volume: 154.5 Å³ per cell
Total magnetization: 0.2 μB/f.u.

Cell lengths 11.0537, 11.0537, 11.0537 Å; angles 163.16, 156.73, 28.87 degrees
With the nearest neighbours (Å) after each atom.
Atoms (fractional coordinates):
Sc: 0.7981 0.0481 0.7500  5 Sc 2.96-3.24, 4 Tl 3.06
Sc: 0.2019 0.9519 0.2500  5 Sc 2.96-3.24, 4 Tl 3.06
Sc: 0.9365 0.1865 0.7500  5 Sc 2.96-3.24, 4 Tl 3.20
Sc: 0.0635 0.8135 0.2500  5 Sc 2.96-3.24, 4 Tl 3.20
Tl: 0.3600 0.6100 0.7500  8 Sc 3.06-3.20, 2 Tl 3.24
Tl: 0.6400 0.3900 0.2500  8 Sc 3.06-3.20, 2 Tl 3.24

---

# 2
ScTl5 | GGA-PBE | relaxed

Values from the calculation:
Energy of formation: 1.78 eV/f.u.
Volume: 190.5 Å³ per cell
Total magnetization: 0.2 μB/f.u.

Cell lengths 6.1265, 6.1265, 5.8603 Å; angles 90.00, 90.00, 120.00 degrees
With the nearest neighbours (Å) after each atom.
Atoms (fractional coordinates):
Sc: 0.0000 0.0000 0.0000  6 Tl 3.54
Tl: 0.3333 0.6667 0.0000  9 Tl 3.42-3.54, 3 Sc 3.54
Tl: 0.6667 0.3333 0.0000  9 Tl 3.42-3.54, 3 Sc 3.54
Tl: 0.5000 0.0000 0.5000  8 Tl 3.06-3.42
Tl: 0.0000 0.5000 0.5000  8 Tl 3.06-3.42
Tl: 0.5000 0.5000 0.5000  8 Tl 3.06-3.42

---

# 3
Sc2Tl3 | GGA-PBE | relaxed

Values from the calculation:
Energy of formation: -0.49 eV/f.u.
Volume: 511.9 Å³ per cell
Total magnetization: 0.0 μB/f.u.

Cell lengths 3.5526, 11.8784, 12.1299 Å; angles 90.00, 90.00, 90.00 degrees
With the nearest neighbours (Å) after each atom.
Atoms (fractional coordinates):
Sc: 0.2500 0.1892 0.4956  7 Tl 3.06-3.16
Sc: 0.2500 0.3108 0.9956  7 Tl 3.06-3.16
Sc: 0.7500 0.8108 0.5044  7 Tl 3.06-3.16
Sc: 0.7500 0.6892 0.0044  7 Tl 3.06-3.16
Sc: 0.7500 0.4260 0.6787  7 Tl 3.03-3.14
Sc: 0.7500 0.0740 0.1787  7 Tl 3.03-3.14
Sc: 0.2500 0.5740 0.3213  7 Tl 3.03-3.14
Sc: 0.2500 0.9260 0.8213  7 Tl 3.03-3.14
Tl: 0.2500 0.6089 0.5703  5 Sc 3.05-3.10, 2 Tl 3.19
Tl: 0.2500 0.8911 0.0703  5 Sc 3.05-3.10, 2 Tl 3.19
Tl: 0.7500 0.3911 0.4297  5 Sc 3.05-3.10, 2 Tl 3.19
Tl: 0.7500 0.1089 0.9297  5 Sc 3.05-3.10, 2 Tl 3.19
Tl: 0.7500 0.0310 0.6347  5 Sc 3.06-3.14, 2 Tl 3.27
Tl: 0.7500 0.4690 0.1347  5 Sc 3.06-3.14, 2 Tl 3.27
Tl: 0.2500 0.9690 0.3653  5 Sc 3.06-3.14, 2 Tl 3.27
Tl: 0.2500 0.5310 0.8653  5 Sc 3.06-3.14, 2 Tl 3.27
Tl: 0.2500 0.2315 0.7469  4 Sc 3.03-3.16, 4 Tl 3.19-3.27
Tl: 0.2500 0.2685 0.2469  4 Sc 3.03-3.16, 4 Tl 3.19-3.27
Tl: 0.7500 0.7685 0.2531  4 Sc 3.03-3.16, 4 Tl 3.19-3.27
Tl: 0.7500 0.7315 0.7531  4 Sc 3.03-3.16, 4 Tl 3.19-3.27

---

# 4
Sc2Tl3 | GGA-PBE | relaxed

Values from the calculation:
Energy of formation: -0.61 eV/f.u.
Volume: 133.5 Å³ per cell
Total magnetization: 0.0 μB/f.u.

Cell lengths 4.9894, 4.9894, 6.1936 Å; angles 90.00, 90.00, 120.00 degrees
With the nearest neighbours (Å) after each atom.
Atoms (fractional coordinates):
Sc: 0.6667 0.3333 0.1533  8 Tl 3.01-3.19
Sc: 0.3333 0.6667 0.8467  8 Tl 3.01-3.19
Tl: 0.0000 0.0000 0.0000  6 Sc 3.03
Tl: 0.6667 0.3333 0.6386  5 Sc 3.01-3.19, 3 Tl 3.35
Tl: 0.3333 0.6667 0.3614  5 Sc 3.01-3.19, 3 Tl 3.35

---

# 5
Sc7Tl3 | GGA-PBE | relaxed

Values from the calculation:
Energy of formation: -2.34 eV/f.u.
Volume: 234.1 Å³ per cell
Total magnetization: 3.3 μB/f.u.

Cell lengths 4.8400, 6.3371, 8.6111 Å; angles 111.61, 106.32, 90.00 degrees
With the nearest neighbours (Å) after each atom.
Atoms (fractional coordinates):
Sc: 0.0000 0.5000 0.0000  4 Tl 2.99-3.17, 8 Sc 3.31
Sc: 0.7996 0.7998 0.5991  5 Tl 2.89-3.17, 4 Sc 3.24
Sc: 0.2004 0.2002 0.4009  5 Tl 2.89-3.17, 4 Sc 3.24
Sc: 0.6048 0.3530 0.2096  8 Sc 3.15-3.37, 5 Tl 3.21-3.42
Sc: 0.3952 0.6470 0.7904  8 Sc 3.15-3.37, 5 Tl 3.21-3.42
Sc: 0.6046 0.8563 0.2092  8 Sc 3.15-3.38, 5 Tl 3.22-3.43
Sc: 0.3954 0.1437 0.7908  8 Sc 3.15-3.38, 5 Tl 3.22-3.43
Tl: 0.0000 0.0000 0.0000  12 Sc 3.06-3.30
Tl: 0.8041 0.3042 0.6082  9 Sc 2.89-3.22
Tl: 0.1959 0.6958 0.3918  9 Sc 2.89-3.22

---

# 6
Sc2Tl | GGA-PBE | relaxed

Values from the calculation:
Energy of formation: -0.27 eV/f.u.
Volume: 151.1 Å³ per cell
Total magnetization: 1.3 μB/f.u.

Cell lengths 5.8293, 5.8293, 5.8293 Å; angles 106.40, 106.40, 115.81 degrees
With the nearest neighbours (Å) after each atom.
Atoms (fractional coordinates):
Sc: 0.8351 0.3351 0.1703  4 Tl 3.03, 1 Sc 3.26
Sc: 0.1649 0.6649 0.8297  4 Tl 3.03, 1 Sc 3.26
Sc: 0.3351 0.1649 0.5000  4 Tl 3.03, 1 Sc 3.26
Sc: 0.6649 0.8351 0.5000  4 Tl 3.03, 1 Sc 3.26
Tl: 0.2500 0.2500 0.0000  8 Sc 3.03, 2 Tl 3.10
Tl: 0.7500 0.7500 0.0000  8 Sc 3.03, 2 Tl 3.10

---

# 7
Sc3Tl2 | GGA-PBE | relaxed

Values from the calculation:
Energy of formation: -1.11 eV/f.u.
Volume: 118.6 Å³ per cell
Total magnetization: 1.0 μB/f.u.

Cell lengths 3.4393, 3.4393, 10.3134 Å; angles 99.60, 99.60, 90.00 degrees
With the nearest neighbours (Å) after each atom.
Atoms (fractional coordinates):
Sc: 0.0000 0.0000 0.0000  8 Tl 3.14, 4 Sc 3.44
Sc: 0.1978 0.1978 0.3957  4 Tl 3.13, 8 Sc 3.21-3.44
Sc: 0.8022 0.8022 0.6043  4 Tl 3.13, 8 Sc 3.21-3.44
Tl: 0.4006 0.4006 0.8012  8 Sc 3.13-3.14, 4 Tl 3.44
Tl: 0.5994 0.5994 0.1988  8 Sc 3.13-3.14, 4 Tl 3.44

---

# 8
ScTl5 | GGA-PBE | relaxed

Values from the calculation:
Energy of formation: 0.38 eV/f.u.
Volume: 169.7 Å³ per cell
Total magnetization: 0.0 μB/f.u.

Cell lengths 6.0043, 6.0043, 5.4356 Å; angles 90.00, 90.00, 120.00 degrees
With the nearest neighbours (Å) after each atom.
Atoms (fractional coordinates):
Sc: 0.0000 0.0000 0.5000  12 Tl 3.34-3.47
Tl: 0.6773 0.0000 0.0000  2 Sc 3.34, 10 Tl 3.36-3.52
Tl: 0.3227 0.3227 0.0000  2 Sc 3.34, 10 Tl 3.36-3.52
Tl: 0.0000 0.6773 0.0000  2 Sc 3.34, 10 Tl 3.36-3.52
Tl: 0.6667 0.3333 0.5000  9 Tl 3.39-3.47, 3 Sc 3.47
Tl: 0.3333 0.6667 0.5000  9 Tl 3.39-3.47, 3 Sc 3.47

---

# 9
Sc2Tl3 | GGA-PBE | relaxed

Values from the calculation:
Energy of formation: -0.82 eV/f.u.
Volume: 244.8 Å³ per cell
Total magnetization: 0.0 μB/f.u.

Cell lengths 9.2440, 8.1210, 6.1561 Å; angles 79.40, 59.71, 40.89 degrees
With the nearest neighbours (Å) after each atom.
Atoms (fractional coordinates):
Sc: 0.2178 0.8850 0.3616  8 Tl 3.05-3.38
Sc: 0.5356 0.3616 0.8850  8 Tl 3.05-3.38
Sc: 0.3650 0.0322 0.7144  8 Tl 3.05-3.38
Sc: 0.8884 0.7144 0.0322  8 Tl 3.05-3.38
Tl: 0.7554 0.4519 0.3581  5 Sc 3.13-3.25, 5 Tl 3.14-3.35
Tl: 0.4346 0.3581 0.4519  5 Sc 3.13-3.25, 5 Tl 3.14-3.35
Tl: 0.7981 0.4946 0.8154  5 Sc 3.13-3.25, 5 Tl 3.14-3.35
Tl: 0.8919 0.8154 0.4946  5 Sc 3.13-3.25, 5 Tl 3.14-3.35
Tl: 0.0567 0.9433 0.9433  6 Sc 3.05-3.38, 4 Tl 3.26-3.29
Tl: 0.3067 0.1933 0.1933  6 Sc 3.05-3.38, 4 Tl 3.26-3.29

---

# 10
Sc3Tl2 | GGA-PBE | relaxed

Values from the calculation:
Energy of formation: -1.19 eV/f.u.
Volume: 118.1 Å³ per cell
Total magnetization: 0.0 μB/f.u.

Cell lengths 4.9596, 4.9596, 6.2416 Å; angles 66.59, 66.59, 60.00 degrees
With the nearest neighbours (Å) after each atom.
Atoms (fractional coordinates):
Sc: 0.0000 0.0000 0.0000  6 Tl 3.12, 2 Sc 3.46
Sc: 0.7923 0.7923 0.6232  4 Tl 2.99-3.32, 3 Sc 3.17
Sc: 0.2077 0.2077 0.3768  4 Tl 2.99-3.32, 3 Sc 3.17
Tl: 0.4073 0.4073 0.7781  7 Sc 2.99-3.32, 1 Tl 3.08
Tl: 0.5927 0.5927 0.2219  7 Sc 2.99-3.32, 1 Tl 3.08

---

# 11
Sc5Tl2 | GGA-PBE | relaxed

Values from the calculation:
Energy of formation: -1.34 eV/f.u.
Volume: 330.5 Å³ per cell
Total magnetization: 0.0 μB/f.u.

Cell lengths 5.0365, 8.0707, 8.7139 Å; angles 100.34, 90.00, 108.18 degrees
With the nearest neighbours (Å) after each atom.
Atoms (fractional coordinates):
Sc: 0.6061 0.7129 0.5353  4 Tl 3.07-3.33, 4 Sc 3.17-3.21
Sc: 0.8932 0.2871 0.9647  4 Tl 3.07-3.33, 4 Sc 3.17-3.21
Sc: 0.9779 0.4544 0.3257  1 Tl 2.94, 6 Sc 2.98-3.17
Sc: 0.5235 0.5456 0.1743  1 Tl 2.94, 6 Sc 2.98-3.17
Sc: 0.0221 0.5456 0.6743  1 Tl 2.94, 6 Sc 2.98-3.17
Sc: 0.4765 0.4544 0.8257  1 Tl 2.94, 6 Sc 2.98-3.17
Sc: 0.1068 0.7129 0.0353  4 Tl 3.07-3.33, 4 Sc 3.17-3.21
Sc: 0.3939 0.2871 0.4647  4 Tl 3.07-3.33, 4 Sc 3.17-3.21
Sc: 0.2504 0.0000 0.7500  6 Tl 3.13, 2 Sc 3.42
Sc: 0.7496 0.0000 0.2500  6 Tl 3.13, 2 Sc 3.42
Tl: 0.8281 0.1552 0.6092  7 Sc 2.94-3.13
Tl: 0.6729 0.8448 0.8908  7 Sc 2.94-3.13
Tl: 0.1719 0.8448 0.3908  7 Sc 2.94-3.13
Tl: 0.3271 0.1552 0.1092  7 Sc 2.94-3.13

---

# 12
ScTl5 | GGA-PBE | relaxed

Values from the calculation:
Energy of formation: 0.01 eV/f.u.
Volume: 170.6 Å³ per cell
Total magnetization: 0.0 μB/f.u.

Cell lengths 6.2768, 6.2768, 8.3902 Å; angles 74.04, 74.04, 32.58 degrees
With the nearest neighbours (Å) after each atom.
Atoms (fractional coordinates):
Sc: 0.0130 0.0130 0.9712  8 Tl 3.10-3.41
Tl: 0.2893 0.2893 0.3608  8 Tl 3.31-3.52
Tl: 0.6843 0.6843 0.7085  2 Sc 3.10, 7 Tl 3.33-3.46
Tl: 0.5761 0.5761 0.2388  2 Sc 3.11, 5 Tl 3.31-3.48
Tl: 0.9725 0.9725 0.5942  9 Tl 3.33-3.64, 1 Sc 3.34
Tl: 0.2981 0.2981 0.9599  3 Sc 3.16-3.41, 7 Tl 3.33-3.52

---

# 13
Sc2Tl | GGA-PBE | relaxed

Values from the calculation:
Energy of formation: -0.34 eV/f.u.
Volume: 72.8 Å³ per cell
Total magnetization: 0.5 μB/f.u.

Cell lengths 4.9462, 4.9463, 3.4371 Å; angles 90.00, 90.00, 120.00 degrees
With the nearest neighbours (Å) after each atom.
Atoms (fractional coordinates):
Sc: 0.6667 0.3333 0.2749  3 Tl 3.01, 3 Sc 3.25
Sc: 0.3333 0.6667 0.7251  3 Tl 3.01, 3 Sc 3.25
Tl: 0.0000 0.0000 0.0000  6 Sc 3.01